1.
## AlCdSn (PBE)

Data for crystalline AlCdSn at its relaxed geometry.

Output
Energy above the most stable polymorph in this dataset (eV/atom): 0.017
Symmetry: P1 (1)

Lattice parameters (Å, degrees): 4.0992 5.5768 6.7823 73.86 73.30 80.92
Positions (direct):
Al (0.0000, 0.0000, 0.0000)
Al (0.4782, 0.3439, 0.8980)
Cd (0.1502, 0.3943, 0.5585)
Cd (0.8221, 0.4759, 0.1887)
Sn (0.3433, 0.9535, 0.3345)
Sn (0.6609, 0.8558, 0.7279)

***

2.
## AlCd3Sn (PBE)

Data for crystalline AlCd3Sn at its relaxed geometry.

Output
Energy above the most stable polymorph in this dataset (eV/atom): 0.000
Symmetry: Pm-3m (221)

Lattice parameters (Å, degrees): 5.2143 5.2143 5.2143 90.00 90.00 90.00
Positions (direct):
Al (0.0000, 0.0000, 0.0000)
Cd (0.0000, 0.0000, 0.5000)
Cd (0.0000, 0.5000, 0.0000)
Cd (0.5000, 0.0000, 0.0000)
Sn (0.5000, 0.5000, 0.5000)

***

3.
## Al2Cd2Sn (PBE)

Data for crystalline Al2Cd2Sn at its relaxed geometry.

Output
Energy above the most stable polymorph in this dataset (eV/atom): 0.013
Symmetry: P4/mbm (127)

Lattice parameters (Å, degrees): 8.5480 8.5480 3.0523 90.00 90.00 90.00
Positions (direct):
Al (0.1649, 0.3351, 0.0000)
Al (0.3351, 0.8351, 0.0000)
Al (0.6649, 0.1649, 0.0000)
Al (0.8351, 0.6649, 0.0000)
Cd (0.1340, 0.6340, 0.5000)
Cd (0.3660, 0.1340, 0.5000)
Cd (0.6340, 0.8660, 0.5000)
Cd (0.8660, 0.3660, 0.5000)
Sn (0.0000, 0.0000, 0.5000)
Sn (0.5000, 0.5000, 0.5000)

***

Let's list energy relative to the elements in order: 0.4 2.0 1.0 eV/f.u..
Let's list density of states at the Fermi level in order: 2.157 3.009 4.727 states/eV per cell.